MnCd2Se: relaxed, PBE-GGA. Values from VASP.

The structure in Quantum ESPRESSO input format:
```
&SYSTEM
  ibrav = 0, nat = 4, ntyp = 3
/
ATOMIC_SPECIES
Mn 54.94 Mn.upf
Cd 112.41 Cd.upf
Se 78.96 Se.upf
CELL_PARAMETERS angstrom
-2.101 2.101 4.592
2.101 -2.101 4.592
2.101 2.101 -4.592
ATOMIC_POSITIONS crystal
Mn 0.000 0.000 0.000
Cd 0.500 0.500 0.000
Cd 0.750 0.250 0.500
Se 0.250 0.750 0.500
```

Properties
raw formation energy	0.64	eV per formula unit
magnetization	3.7	μB/cell
calculated volume	81	Å³ per cell
uncorrected energy	-3.4612	eV per atom
SG	I-4m2, No. 119

=====

NbReO2: relaxed, PBE-GGA. Values from VASP.

The structure in Quantum ESPRESSO input format:
```
&SYSTEM
  ibrav = 0, nat = 8, ntyp = 3
/
ATOMIC_SPECIES
Nb 92.91 Nb.upf
Re 186.21 Re.upf
O 16.00 O.upf
CELL_PARAMETERS angstrom
-1.968 1.968 6.378
1.968 -1.968 6.378
1.968 1.968 -6.378
ATOMIC_POSITIONS crystal
Nb 0.000 0.000 0.000
Nb 0.750 0.250 0.500
Re 0.250 0.750 0.500
Re 0.500 0.500 0.000
O 0.136 0.625 0.011
O 0.375 0.386 0.511
O 0.614 0.125 0.989
O 0.875 0.864 0.489
```

Properties
energy relative to the lowest polymorph listed for this composition	403	meV/atom
raw formation energy	-3.58	eV per formula unit
magnetization	0.0	μB/cell
calculated volume	99	Å³ per cell
uncorrected energy	-9.0024	eV per atom
SG	I-42d, No. 122

=====

GeOsSN2: relaxed, PBE-GGA. Values from VASP.

The structure in Quantum ESPRESSO input format:
```
&SYSTEM
  ibrav = 0, nat = 5, ntyp = 4
/
ATOMIC_SPECIES
Ge 72.64 Ge.upf
Os 190.23 Os.upf
S 32.06 S.upf
N 14.01 N.upf
CELL_PARAMETERS angstrom
3.727 0.000 0.000
0.000 3.727 0.000
0.000 0.000 4.643
ATOMIC_POSITIONS crystal
Ge 0.000 0.000 0.000
Os 0.500 0.500 0.500
S 0.000 0.000 0.500
N 0.000 0.500 0.000
N 0.500 0.000 0.000
```

Properties
energy relative to the lowest polymorph listed for this composition	1166	meV/atom
raw formation energy	8.97	eV per formula unit
magnetization	0.3	μB/cell
calculated volume	64	Å³ per cell
uncorrected energy	-5.5301	eV per atom
SG	P4/mmm, No. 123

=====

ZrMoPt: relaxed, PBE-GGA. Values from VASP.

The structure in Quantum ESPRESSO input format:
```
&SYSTEM
  ibrav = 0, nat = 6, ntyp = 3
/
ATOMIC_SPECIES
Zr 91.22 Zr.upf
Mo 95.94 Mo.upf
Pt 195.08 Pt.upf
CELL_PARAMETERS angstrom
4.712 0.000 0.000
0.000 3.370 0.000
-1.622 0.000 6.728
ATOMIC_POSITIONS crystal
Zr 0.000 0.000 0.000
Zr 0.366 0.000 0.647
Mo 0.738 0.000 0.332
Mo 0.864 0.500 0.631
Pt 0.258 0.500 0.319
Pt 0.492 0.500 0.982
```

Properties
energy relative to the lowest polymorph listed for this composition	76	meV/atom
magnetization	0.0	μB/cell
calculated volume	107	Å³ per cell
uncorrected energy	-8.9188	eV per atom
SG	Pm, No. 6

=====

- magnetization of number 2 (NbReO2)?
  0.0 μB/cell